Crystalline La2Pm2SmY4 at its relaxed geometry, computed with PBE.

```
La2Pm2SmY4
1.0
-0.7735 3.1059 1.7932
2.0010 -5.9317 7.3840
7.7206 4.2847 -4.0909
Y Sm Pm La
4 1 2 2
Direct
0.4798 0.9596 0.6651
0.1853 0.3707 0.3369
0.5202 0.0404 0.3349
0.8147 0.6293 0.6631
0.0000 0.0000 0.0000
0.8523 0.7047 0.3362
0.1477 0.2953 0.6638
0.6655 0.3310 0.9993
0.3345 0.6690 0.0007
```

Values from the calculation:
formation energy: -0.002 eV per atom
crystal system: monoclinic
calculated volume: 34.0 Å³/atom